Record 1
## NpAs2IrRu (PBE)

Data for crystalline NpAs2IrRu at its relaxed geometry.

Unit cell a=6.1432 b=6.1432 c=6.1432 alpha=141.17 beta=141.17 gamma=56.08
Fractional positions:
1 Np 0.0000 0.0000 0.0000
2 As 0.3764 0.3764 0.0000
3 As 0.6236 0.6236 0.0000
4 Ir 0.7500 0.2500 0.5000
5 Ru 0.2500 0.7500 0.5000

Formation energy in eV per atom: -0.35
Magnetic moment in μB/f.u.: 4.27

---

Record 2
## AsIr3O (PBE)

Data for crystalline AsIr3O at its relaxed geometry.

Unit cell a=4.1931 b=4.1931 c=4.1931 alpha=90.00 beta=90.00 gamma=90.00
Fractional positions:
1 As 0.0000 0.0000 0.0000
2 Ir 0.0000 0.5000 0.5000
3 Ir 0.5000 0.0000 0.5000
4 Ir 0.5000 0.5000 0.0000
5 O 0.5000 0.5000 0.5000

Polymorph energy (0 for the lowest one) in eV/atom: 0.000
Uncorrected formation energy in kJ/mol of formula units: 446
Magnetic moment in μB/f.u.: 0.00

---

Record 3
## AsIrO4 (PBE)

Data for crystalline AsIrO4 at its relaxed geometry.

Unit cell a=5.1099 b=4.4409 c=5.6065 alpha=90.00 beta=90.00 gamma=90.00
Fractional positions:
1 As 0.0000 0.0000 0.0000
2 As 0.0000 0.5000 0.5000
3 Ir 0.5000 0.0000 0.7002
4 Ir 0.5000 0.5000 0.2002
5 O 0.1642 0.2405 0.7369
6 O 0.1642 0.2595 0.2369
7 O 0.3155 0.7415 0.4480
8 O 0.3155 0.7585 0.9480
9 O 0.6845 0.2415 0.9480
10 O 0.6845 0.2585 0.4480
11 O 0.8358 0.7405 0.2369
12 O 0.8358 0.7595 0.7369

Uncorrected formation energy in kJ/mol of formula units: -490
Magnetic moment in μB/f.u.: 0.00

---

Record 4
## As2IrO8 (PBE)

Data for crystalline As2IrO8 at its relaxed geometry.

Unit cell a=5.1341 b=5.1341 c=5.7956 alpha=97.75 beta=97.75 gamma=67.44
Fractional positions:
1 As 0.1101 0.1101 0.2021
2 As 0.8899 0.8899 0.7979
3 Ir 0.5000 0.5000 0.5000
4 O 0.1126 0.1126 0.8953
5 O 0.1523 0.6065 0.6567
6 O 0.3338 0.3338 0.2417
7 O 0.3935 0.8477 0.3433
8 O 0.6065 0.1523 0.6567
9 O 0.6662 0.6662 0.7583
10 O 0.8477 0.3935 0.3433
11 O 0.8874 0.8874 0.1047

Uncorrected formation energy in kJ/mol of formula units: -779
Magnetic moment in μB/f.u.: 1.13

---

Record 5
## As2IrO (PBE)

Data for crystalline As2IrO at its relaxed geometry.

Unit cell a=6.4961 b=6.4961 c=6.4961 alpha=132.14 beta=132.14 gamma=70.00
Fractional positions:
1 As 0.0952 0.6250 0.9702
2 As 0.3750 0.3452 0.4702
3 As 0.6548 0.1250 0.0298
4 As 0.8750 0.9048 0.5298
5 Ir 0.2500 0.7500 0.5000
6 Ir 0.5000 0.5000 0.0000
7 O 0.0000 0.0000 0.0000
8 O 0.7500 0.2500 0.5000

Uncorrected formation energy in kJ/mol of formula units: -33
Magnetic moment in μB/f.u.: 0.00

---

Record 6
## AsIr3O (PBE)

Data for crystalline AsIr3O at its relaxed geometry.

Unit cell a=4.5868 b=4.5868 c=4.5868 alpha=90.00 beta=90.00 gamma=90.00
Fractional positions:
1 As 0.0000 0.0000 0.0000
2 Ir 0.0000 0.0000 0.5000
3 Ir 0.0000 0.5000 0.0000
4 Ir 0.5000 0.0000 0.0000
5 O 0.5000 0.5000 0.5000

Polymorph energy (0 for the lowest one) in eV/atom: 0.862
Uncorrected formation energy in kJ/mol of formula units: 862
Magnetic moment in μB/f.u.: 3.56